Density functional theory data (PBE-GGA) for an optimized crystal structure of NiAgAsBr2.

Output
- polymorph energy (0 for the lowest one) (meV per atom) = 0
- size of the total moment (μB per formula unit) = 0.00
- uncorrected formation energy (meV per atom) = 273

POSCAR file:
```
NiAgAsBr2
1.0
5.196 0.000 0.000
0.000 5.196 0.000
0.000 0.000 4.436
Ni Ag As Br
1 1 1 2
Direct
0.000 0.000 0.000 Ni
0.500 0.500 0.500 Ag
0.000 0.000 0.500 As
0.000 0.500 0.000 Br
0.500 0.000 0.000 Br
```